Computed, not measured: Ta2TeWF after structural relaxation at the PBE+U level of DFT.

space group: No. 123
total magnetization: 0.72 μB/f.u.
calculated density: 8883 kg/m3
final energy: -5.702 eV/atom
crystal system: tetragonal

Cell and atoms, written as POSCAR:
```
Ta2TeWF
1.0
-0.2240 3.0844 -3.9258
-0.8009 -4.0480 -3.1347
-4.9324 0.4712 0.6517
F Ta W Te
1 2 1 1
direct
0.5000 0.5000 0.5000
0.0000 0.0000 0.5000
0.5000 0.0000 0.0000
0.0000 0.0000 0.0000
0.0000 0.5000 0.0000
```